First-principles (PBE-GGA) data for a geometry-optimized USbPt5 structure, as listed in Alexandria via LeMat-Bulk.

Density of states at the Fermi level   33.430 states/eV per cell
E   -195.0 eV/cell
Formation energy (no corrections)   -301.6 kJ/mol of formula units
Total moment   6.2 Bohr magnetons per cell

```
data_USbPt5
_symmetry_space_group_name_H-M 'P 1 21/c 1'
_symmetry_Int_Tables_number 14
_cell_length_a 5.4258
_cell_length_b 10.5741
_cell_length_c 9.0509
_cell_angle_alpha 90.00
_cell_angle_beta 97.16
_cell_angle_gamma 90.00
loop_
_symmetry_equiv_pos_as_xyz
'x,y,z'
'-x,-y,-z'
'-x,y+1/2,-z+1/2'
'x,-y+1/2,z+1/2'
loop_
_atom_site_label
_atom_site_type_symbol
_atom_site_fract_x
_atom_site_fract_y
_atom_site_fract_z
U1 U 0.2137 0.0518 0.2612
Sb1 Sb 0.2613 0.1571 0.6357
Pt1 Pt 0.0098 0.6341 0.5302
Pt2 Pt 0.1998 0.5836 0.0651
Pt3 Pt 0.2081 0.7240 0.8085
Pt4 Pt 0.3617 0.5242 0.3669
Pt5 Pt 0.4636 0.2295 0.9118
```

First-principles (PBE-GGA) data for a geometry-optimized LaHgPt2 structure, as listed in Alexandria via LeMat-Bulk.

Density of states at the Fermi level   1.156 states/eV per cell
E   -19.6 eV/cell
Total moment   0.0 Bohr magnetons per cell

```
data_LaHgPt2
_symmetry_space_group_name_H-M 'P 4 m m'
_symmetry_Int_Tables_number 99
_cell_length_a 3.9710
_cell_length_b 3.9710
_cell_length_c 5.6915
_cell_angle_alpha 90.00
_cell_angle_beta 90.00
_cell_angle_gamma 90.00
loop_
_symmetry_equiv_pos_as_xyz
'x,y,z'
'-y,x,z'
'-x,-y,z'
'y,-x,z'
'-x,y,z'
'y,x,z'
'x,-y,z'
'-y,-x,z'
loop_
_atom_site_label
_atom_site_type_symbol
_atom_site_fract_x
_atom_site_fract_y
_atom_site_fract_z
La1 La 0.0000 0.0000 0.0000
Hg1 Hg 0.5000 0.5000 0.6608
Pt1 Pt 0.0000 0.0000 0.4990
Pt2 Pt 0.5000 0.5000 0.1813
```

First-principles (PBE-GGA) data for a geometry-optimized TaAlMo2 structure, as listed in Alexandria via LeMat-Bulk.

Density of states at the Fermi level   15.137 states/eV per cell
E   -138.2 eV/cell
Total moment   0.0 Bohr magnetons per cell

```
data_TaAlMo2
_symmetry_space_group_name_H-M 'I -4 2 d'
_symmetry_Int_Tables_number 122
_symmetry_space_group_name_Hall 'I -4 2bw'
_cell_length_a 7.1533
_cell_length_b 7.1533
_cell_length_c 5.4577
_cell_angle_alpha 90.00
_cell_angle_beta 90.00
_cell_angle_gamma 90.00
loop_
_atom_site_label
_atom_site_type_symbol
_atom_site_fract_x
_atom_site_fract_y
_atom_site_fract_z
Ta1 Ta 0.0000 0.0000 0.0000
Al1 Al 0.0000 0.0000 0.5000
Mo1 Mo 0.2447 0.2500 0.6250
```

First-principles (PBE-GGA) data for a geometry-optimized SrH2PdO4 structure, as listed in Alexandria via LeMat-Bulk.

Density of states at the Fermi level   8.400 states/eV per cell
E   -83.8 eV/cell
Total moment   3.6 Bohr magnetons per cell

```
data_SrH2PdO4
_symmetry_space_group_name_H-M 'I 2 2 2'
_symmetry_Int_Tables_number 23
_cell_length_a 4.8774
_cell_length_b 5.8156
_cell_length_c 6.7242
_cell_angle_alpha 90.00
_cell_angle_beta 90.00
_cell_angle_gamma 90.00
loop_
_symmetry_equiv_pos_as_xyz
'x,y,z'
'-x,-y,z'
'x,-y,-z'
'-x,y,-z'
'x+1/2,y+1/2,z+1/2'
'-x+1/2,-y+1/2,z+1/2'
'x+1/2,-y+1/2,-z+1/2'
'-x+1/2,y+1/2,-z+1/2'
loop_
_atom_site_label
_atom_site_type_symbol
_atom_site_fract_x
_atom_site_fract_y
_atom_site_fract_z
Sr1 Sr 0.0000 0.0000 0.0000
H1 H 0.0000 0.5000 0.1773
Pd1 Pd 0.0000 0.0000 0.5000
O1 O 0.2161 0.4020 0.8113
```

First-principles (PBE-GGA) data for a geometry-optimized BeMoN2 structure, as listed in Alexandria via LeMat-Bulk.

Density of states at the Fermi level   11.094 states/eV per cell
E   -130.3 eV/cell
Formation energy (no corrections)   -130.9 kJ/mol of formula units
Total moment   0.0 Bohr magnetons per cell

```
data_BeMoN2
_symmetry_space_group_name_H-M 'I -4 2 d'
_symmetry_Int_Tables_number 122
_symmetry_space_group_name_Hall 'I -4 2bw'
_cell_length_a 4.4203
_cell_length_b 4.4203
_cell_length_c 8.3534
_cell_angle_alpha 90.00
_cell_angle_beta 90.00
_cell_angle_gamma 90.00
loop_
_atom_site_label
_atom_site_type_symbol
_atom_site_fract_x
_atom_site_fract_y
_atom_site_fract_z
Be1 Be 0.0000 0.0000 0.0000
Mo1 Mo 0.0000 0.0000 0.5000
N1 N 0.2108 0.2500 0.1250
```

First-principles (PBE-GGA) data for a geometry-optimized KNiHg2As structure, as listed in Alexandria via LeMat-Bulk.

Density of states at the Fermi level   3.607 states/eV per cell
E   -12.6 eV/cell
Total moment   0.0 Bohr magnetons per cell

```
data_KNiHg2As
_symmetry_space_group_name_H-M 'P 4/m m m'
_symmetry_Int_Tables_number 123
_symmetry_space_group_name_Hall '-P 4 2'
_cell_length_a 5.1820
_cell_length_b 5.1820
_cell_length_c 4.6663
_cell_angle_alpha 90.00
_cell_angle_beta 90.00
_cell_angle_gamma 90.00
loop_
_atom_site_label
_atom_site_type_symbol
_atom_site_fract_x
_atom_site_fract_y
_atom_site_fract_z
K1 K 0.0000 0.0000 0.0000
Ni1 Ni 0.5000 0.5000 0.5000
Hg1 Hg 0.0000 0.5000 0.5000
As1 As 0.5000 0.5000 0.0000
```

First-principles (PBE-GGA) data for a geometry-optimized PmTlS3 structure, as listed in Alexandria via LeMat-Bulk.

E   -48.7 eV/cell
Formation energy (no corrections)   -467.6 kJ/mol of formula units
Total moment   0.0 Bohr magnetons per cell

```
data_PmTlS3
_symmetry_space_group_name_H-M 'P -1'
_symmetry_Int_Tables_number 2
_cell_length_a 7.0374
_cell_length_b 7.0424
_cell_length_c 7.3709
_cell_angle_alpha 90.07
_cell_angle_beta 118.43
_cell_angle_gamma 119.95
loop_
_symmetry_equiv_pos_as_xyz
'x,y,z'
'-x,-y,-z'
loop_
_atom_site_label
_atom_site_type_symbol
_atom_site_fract_x
_atom_site_fract_y
_atom_site_fract_z
Pm1 Pm 0.2101 0.3549 0.0652
Tl1 Tl 0.2163 0.8579 0.5740
S1 S 0.0059 0.9560 0.7470
S2 S 0.2912 0.5499 0.7471
S3 S 0.3026 0.7589 0.2530
```

First-principles (PBE-GGA) data for a geometry-optimized Ca3AcCe2P6 structure, as listed in Alexandria via LeMat-Bulk.

Density of states at the Fermi level   30.968 states/eV per cell
E   -138.2 eV/cell
Total moment   0.0 Bohr magnetons per cell

```
data_Ca3AcCe2P6
_symmetry_space_group_name_H-M 'C 1 2/m 1'
_symmetry_Int_Tables_number 12
_cell_length_a 7.3227
_cell_length_b 12.6904
_cell_length_c 7.1303
_cell_angle_alpha 90.00
_cell_angle_beta 110.15
_cell_angle_gamma 90.00
loop_
_symmetry_equiv_pos_as_xyz
'x,y,z'
'-x,-y,-z'
'-x,y,-z'
'x,-y,z'
'x+1/2,y+1/2,z'
'-x+1/2,-y+1/2,-z'
'-x+1/2,y+1/2,-z'
'x+1/2,-y+1/2,z'
loop_
_atom_site_label
_atom_site_type_symbol
_atom_site_fract_x
_atom_site_fract_y
_atom_site_fract_z
Ca1 Ca 0.0000 0.0000 0.0000
Ca2 Ca 0.0000 0.3361 0.0000
Ac1 Ac 0.0000 0.5000 0.5000
Ce1 Ce 0.0000 0.1668 0.5000
P1 P 0.2291 0.0000 0.7415
P2 P 0.2439 0.1761 0.2615
```

First-principles (PBE-GGA) data for a geometry-optimized PrTaTe2 structure, as listed in Alexandria via LeMat-Bulk.

Density of states at the Fermi level   10.930 states/eV per cell
E   -71.4 eV/cell
Formation energy (no corrections)   -85.1 kJ/mol of formula units
Total moment   1.3 Bohr magnetons per cell

```
data_PrTaTe2
_symmetry_space_group_name_H-M 'R -3 m'
_symmetry_Int_Tables_number 166
_symmetry_space_group_name_Hall '-R 3 2"'
_cell_length_a 3.6460
_cell_length_b 3.6460
_cell_length_c 30.6554
_cell_angle_alpha 90.00
_cell_angle_beta 90.00
_cell_angle_gamma 120.00
loop_
_atom_site_label
_atom_site_type_symbol
_atom_site_fract_x
_atom_site_fract_y
_atom_site_fract_z
Pr1 Pr 0.0000 0.0000 0.0000
Ta1 Ta 0.0000 0.0000 0.5000
Te1 Te 0.0000 0.0000 0.1059
```

First-principles (PBE-GGA) data for a geometry-optimized HfV2Ge4 structure, as listed in Alexandria via LeMat-Bulk.

Density of states at the Fermi level   14.506 states/eV per cell
E   -86.5 eV/cell
Total moment   0.0 Bohr magnetons per cell

```
data_HfV2Ge4
_symmetry_space_group_name_H-M 'I 4/m m m'
_symmetry_Int_Tables_number 139
_symmetry_space_group_name_Hall '-I 4 2'
_cell_length_a 5.0218
_cell_length_b 5.0218
_cell_length_c 12.4357
_cell_angle_alpha 90.00
_cell_angle_beta 90.00
_cell_angle_gamma 90.00
loop_
_atom_site_label
_atom_site_type_symbol
_atom_site_fract_x
_atom_site_fract_y
_atom_site_fract_z
Hf1 Hf 0.0000 0.0000 0.0000
V1 V 0.0000 0.0000 0.4183
Ge1 Ge 0.0000 0.0000 0.2117
Ge2 Ge 0.0000 0.5000 0.0000
```

First-principles (PBE-GGA) data for a geometry-optimized TcCl2 structure, as listed in Alexandria via LeMat-Bulk.

E   -62.9 eV/cell
Formation energy (no corrections)   -161.2 kJ/mol of formula units
Total moment   0.0 Bohr magnetons per cell

```
data_TcCl2
_symmetry_space_group_name_H-M 'C 1 2/m 1'
_symmetry_Int_Tables_number 12
_cell_length_a 13.7615
_cell_length_b 3.4925
_cell_length_c 7.7377
_cell_angle_alpha 90.00
_cell_angle_beta 112.33
_cell_angle_gamma 90.00
loop_
_symmetry_equiv_pos_as_xyz
'x,y,z'
'-x,-y,-z'
'-x,y,-z'
'x,-y,z'
'x+1/2,y+1/2,z'
'-x+1/2,-y+1/2,-z'
'-x+1/2,y+1/2,-z'
'x+1/2,-y+1/2,z'
loop_
_atom_site_label
_atom_site_type_symbol
_atom_site_fract_x
_atom_site_fract_y
_atom_site_fract_z
Tc1 Tc 0.0181 0.0000 0.1492
Cl1 Cl 0.0922 0.5000 0.8116
Cl2 Cl 0.1468 0.5000 0.2639
```

First-principles (PBE-GGA) data for a geometry-optimized CeNd3Pb5 structure, as listed in Alexandria via LeMat-Bulk.

Density of states at the Fermi level   24.555 states/eV per cell
E   -85.7 eV/cell
Total moment   2.1 Bohr magnetons per cell

```
data_CeNd3Pb5
_symmetry_space_group_name_H-M 'P 63/m c m'
_symmetry_Int_Tables_number 193
_symmetry_space_group_name_Hall '-P 6c 2'
_cell_length_a 9.8076
_cell_length_b 9.8076
_cell_length_c 6.5952
_cell_angle_alpha 90.00
_cell_angle_beta 90.00
_cell_angle_gamma 120.00
loop_
_atom_site_label
_atom_site_type_symbol
_atom_site_fract_x
_atom_site_fract_y
_atom_site_fract_z
Ce1 Ce 0.0000 0.0000 0.0000
Nd1 Nd 0.0000 0.3784 0.2500
Pb1 Pb 0.0000 0.2911 0.7500
Pb2 Pb 0.3333 0.6667 0.0000
```